(1)
{"formula": "As2Se", "functional": "PBE", "state": "relaxed", "e_form_raw_mev_per_atom": 413.1, "energy_ev_per_atom": -3.848, "magnetic_moment_mub_per_fu": 0.00, "crystal_system": "hexagonal", "lattice": [[4.957, 0.000, 0.000], [-2.479, 4.293, 0.000], [0.000, 0.000, 2.774]], "species": ["As", "As", "Se"], "frac_coords": [[0.333, 0.667, 0.000], [0.667, 0.333, 0.000], [0.000, 0.000, 0.500]]}

***

(2)
{"formula": "Nd2Sm6Ho3", "functional": "PBE", "state": "relaxed", "energy_ev_per_atom": -4.674, "magnetic_moment_mub_per_fu": 0.00, "formation_enthalpy_0k_ev_per_atom": 0.0155, "crystal_system": "triclinic", "lattice": [[6.256, 0.000, 0.000], [-2.054, 7.778, 0.000], [-1.032, -2.786, 7.510]], "species": ["Nd", "Nd", "Sm", "Sm", "Sm", "Sm", "Sm", "Sm", "Ho", "Ho", "Ho"], "frac_coords": [[0.228, 0.409, 0.047], [0.772, 0.591, 0.953], [0.045, 0.683, 0.411], [0.137, 0.046, 0.230], [0.319, 0.774, 0.864], [0.681, 0.226, 0.136], [0.863, 0.954, 0.770], [0.955, 0.317, 0.589], [0.410, 0.136, 0.680], [0.500, 0.500, 0.500], [0.590, 0.864, 0.320]]}

***

(3)
{"formula": "K2MgPbI6", "functional": "PBE", "state": "relaxed", "e_form_raw_mev_per_atom": -1059.2, "energy_ev_per_atom": -2.739, "magnetic_moment_mub_per_fu": 0.00, "crystal_system": "trigonal", "lattice": [[4.217, 2.435, 7.048], [-4.217, 2.435, 7.048], [0.000, -4.870, 7.048]], "species": ["K", "K", "Mg", "Pb", "I", "I", "I", "I", "I", "I"], "frac_coords": [[0.000, 0.000, 0.000], [0.496, 0.496, 0.496], [0.713, 0.713, 0.713], [0.214, 0.214, 0.214], [0.043, 0.466, 0.852], [0.376, 0.936, 0.569], [0.466, 0.852, 0.043], [0.569, 0.376, 0.936], [0.852, 0.043, 0.466], [0.936, 0.569, 0.376]]}

***

(4)
{"formula": "Mg8Cd2Pt", "functional": "PBE", "state": "relaxed", "energy_ev_per_atom": -2.117, "magnetic_moment_mub_per_fu": 0.00, "formation_enthalpy_0k_ev_per_atom": -0.2418, "crystal_system": "monoclinic", "lattice": [[7.933, -2.397, 0.000], [7.933, 2.397, 0.000], [-2.683, 0.000, 6.130]], "species": ["Mg", "Mg", "Mg", "Mg", "Mg", "Mg", "Mg", "Mg", "Cd", "Cd", "Pt"], "frac_coords": [[0.007, 0.007, 0.271], [0.182, 0.182, 0.706], [0.356, 0.356, 0.604], [0.377, 0.377, 0.094], [0.623, 0.623, 0.906], [0.644, 0.644, 0.396], [0.818, 0.818, 0.294], [0.993, 0.993, 0.729], [0.183, 0.183, 0.178], [0.817, 0.817, 0.822], [0.500, 0.500, 0.500]]}

***

(5)
{"formula": "DyV2W", "functional": "PBE", "state": "relaxed", "energy_ev_per_atom": -8.566, "magnetic_moment_mub_per_fu": 0.00, "formation_enthalpy_0k_ev_per_atom": 0.3820, "crystal_system": "trigonal", "lattice": [[2.163, 1.249, 4.803], [-2.163, 1.249, 4.803], [0.000, -2.498, 4.803]], "species": ["Dy", "V", "V", "W"], "frac_coords": [[0.000, 0.000, 0.000], [0.206, 0.206, 0.206], [0.794, 0.794, 0.794], [0.500, 0.500, 0.500]]}

***

(6)
{"formula": "CsPuBr2F8", "functional": "PBE", "state": "relaxed", "e_form_raw_mev_per_atom": -2178.4, "energy_ev_per_atom": -4.970, "magnetic_moment_mub_per_fu": 3.00, "crystal_system": "trigonal", "lattice": [[6.803, 0.000, 0.000], [-3.401, 5.892, 0.000], [0.000, 0.000, 7.920]], "species": ["Cs", "Pu", "Br", "Br", "F", "F", "F", "F", "F", "F", "F", "F"], "frac_coords": [[0.000, 0.000, 0.000], [0.000, 0.000, 0.500], [0.333, 0.667, 0.358], [0.667, 0.333, 0.642], [0.139, 0.278, 0.660], [0.139, 0.861, 0.660], [0.278, 0.139, 0.340], [0.333, 0.667, 0.129], [0.667, 0.333, 0.871], [0.722, 0.861, 0.660], [0.861, 0.139, 0.340], [0.861, 0.722, 0.340]]}